Below is HfCrReNi after structural relaxation, with properties calculated at the GGA-PBE level.

a = 2.885 Å, b = 4.452 Å, c = 5.145 Å
α = 111.62°, β = 104.12°, γ = 95.26°
Space group P1 (No. 1)
Symmetry-distinct sites (fractional):
Hf 0.000 0.000 0.000 (multiplicity 1)
Cr 0.396 0.864 0.467 (multiplicity 1)
Re 0.917 0.396 0.549 (multiplicity 1)
Ni 0.574 0.492 0.025 (multiplicity 1)

Computed properties:
* magnetic moment: 0.0 Bohr magnetons per cell
* energy relative to the lowest polymorph listed for this composition: 0.487 eV per formula unit
* calculated density: 13.53 g/cm3

***

Below is HfCrReNi after structural relaxation, with properties calculated at the GGA-PBE level.

a = 3.185 Å, b = 4.410 Å, c = 8.381 Å
α = 90.00°, β = 90.00°, γ = 90.00°
Space group Imm2 (No. 44)
Symmetry-distinct sites (fractional):
Hf 0.000 0.000 0.000 (multiplicity 2)
Cr 0.000 0.000 0.508 (multiplicity 2)
Re 0.000 0.500 0.229 (multiplicity 2)
Ni 0.000 0.500 0.765 (multiplicity 2)

Computed properties:
* magnetic moment: 0.0 Bohr magnetons per cell
* energy relative to the lowest polymorph listed for this composition: 0.392 eV per formula unit
* calculated density: 13.41 g/cm3

***

Below is HfCrReNi after structural relaxation, with properties calculated at the GGA-PBE level.

a = 3.171 Å, b = 4.121 Å, c = 4.425 Å
α = 90.00°, β = 90.00°, γ = 90.00°
Space group Pmmm (No. 47)
Symmetry-distinct sites (fractional):
Hf 0.000 0.000 0.000 (multiplicity 1)
Cr 0.500 0.000 0.500 (multiplicity 1)
Re 0.000 0.500 0.500 (multiplicity 1)
Ni 0.500 0.500 0.000 (multiplicity 1)

Computed properties:
* magnetic moment: 0.0 Bohr magnetons per cell
* energy relative to the lowest polymorph listed for this composition: 0.092 eV per formula unit
* calculated density: 13.65 g/cm3

***

Below is Sr2HfCrNi after structural relaxation, with properties calculated at the GGA-PBE level.

a = 5.954 Å, b = 5.954 Å, c = 4.276 Å
α = 90.00°, β = 90.00°, γ = 90.00°
Space group P4/mmm (No. 123)
Symmetry-distinct sites (fractional):
Sr 0.000 0.500 0.000 (multiplicity 2)
Hf 0.000 0.000 0.500 (multiplicity 1)
Cr 0.500 0.500 0.000 (multiplicity 1)
Ni 0.500 0.500 0.500 (multiplicity 1)

Computed properties:
* magnetic moment: 3.6 Bohr magnetons per cell
* raw total energy: -4.567 eV/atom
* calculated density: 5.09 g/cm3